1.
# Hf14ScTa

Hf14ScTa after structural relaxation (PBE-GGA, Alexandria via LeMat-Bulk).

## Properties
calculated total energy: -9.7719 eV per atom
energy of formation from the pure elements: 0.07 eV per atom

abc: 10.138 6.381 11.011
angles: 90.00 90.00 90.00
Space group Amm2 (No. 38)
One atom of each set of equivalent atoms:
Hf  0.000  0.000  0.000 [2 per cell]
Hf  0.000  0.000  0.499 [2 per cell]
Hf  0.000  0.249  0.250 [4 per cell]
Hf  0.249  0.000  0.167 [4 per cell]
Hf  0.252  0.000  0.669 [4 per cell]
Hf  0.253  0.246  0.917 [8 per cell]
Hf  0.500  0.249  0.586 [4 per cell]
Sc  0.500  0.000  0.335 [2 per cell]
Ta  0.500  0.000  0.831 [2 per cell]

2.
# Hf2ScTa

Hf2ScTa after structural relaxation (PBE-GGA, Alexandria via LeMat-Bulk).

## Properties
calculated total energy: -8.8482 eV per atom
energy of formation from the pure elements: 0.67 eV per atom

abc: 7.716 7.716 5.952
angles: 90.00 90.00 90.00
Space group I-42d (No. 122)
One atom of each set of equivalent atoms:
Hf  0.240  0.750  0.125 [8 per cell]
Sc  0.000  0.000  0.500 [4 per cell]
Ta  0.000  0.000  0.000 [4 per cell]

3.
# Hf2ScTa

Hf2ScTa after structural relaxation (PBE-GGA, Alexandria via LeMat-Bulk).

## Properties
calculated total energy: -9.3796 eV per atom
energy of formation from the pure elements: 0.14 eV per atom

abc: 3.614 3.614 6.643
angles: 90.00 90.00 90.00
Space group P4/mmm (No. 123)
One atom of each set of equivalent atoms:
Hf  0.000  0.000  0.220 [2 per cell]
Sc  0.500  0.500  0.500 [1 per cell]
Ta  0.500  0.500  0.000 [1 per cell]

4.
# Hf2ScTa

Hf2ScTa after structural relaxation (PBE-GGA, Alexandria via LeMat-Bulk).

## Properties
calculated total energy: -9.3539 eV per atom
energy of formation from the pure elements: 0.17 eV per atom

abc: 3.1215 3.1215 30.8024
angles: 90.00 90.00 120.00
Space group R-3m (No. 166, hexagonal axes)
One atom of each set of equivalent atoms:
Hf  0.0000  0.0000  0.2459 [6 per cell]
Sc  0.0000  0.0000  0.0000 [3 per cell]
Ta  0.0000  0.0000  0.5000 [3 per cell]

5.
# HfScTa

HfScTa after structural relaxation (PBE-GGA, Alexandria via LeMat-Bulk).

## Properties
calculated total energy: -9.2068 eV per atom
energy of formation from the pure elements: 0.17 eV per atom

abc: 3.0874 3.0874 23.1284
angles: 90.00 90.00 120.00
Space group R3m (No. 160, hexagonal axes)
One atom of each set of equivalent atoms:
Hf  0.0000  0.0000  0.0000 [3 per cell]
Sc  0.0000  0.0000  0.2139 [3 per cell]
Ta  0.0000  0.0000  0.4410 [3 per cell]

6.
# HfScTa2

HfScTa2 after structural relaxation (PBE-GGA, Alexandria via LeMat-Bulk).

## Properties
calculated total energy: -9.2106 eV per atom
energy of formation from the pure elements: 0.79 eV per atom

abc: 7.643 7.643 5.749
angles: 90.00 90.00 90.00
Space group I-42d (No. 122)
One atom of each set of equivalent atoms:
Hf  0.000  0.000  0.000 [4 per cell]
Sc  0.000  0.000  0.500 [4 per cell]
Ta  0.248  0.250  0.625 [8 per cell]